DFT (PBE-GGA) results for crystalline KRbZn2Rh at its relaxed geometry.

For the formation energy, the calculation gives 980 meV/atom. The spin magnetization comes out at 0.000 μB per formula unit. The calculation puts the total energy at -0.0519 hartree per atom.

a b c (Å): 6.0383 6.0383 5.1653
angles (deg): 90.00 90.00 90.00
Fractional positions:
K 0.0000 0.0000 0.0000
Rb 0.5000 0.5000 0.5000
Zn 0.0000 0.5000 0.0000
Zn 0.5000 0.0000 0.0000
Rh 0.0000 0.0000 0.5000